[1]
# Ho2Be4Pt3Rh | Alexandria | GGA-PBE | relaxed
data_Ho2Be4Pt3Rh
_chemical_formula_sum 'Ho2 Be4 Pt3 Rh1'
_symmetry_space_group_name_H-M 'P -4 m 2'
_symmetry_Int_Tables_number 115
_cell_length_a 4.0296
_cell_length_b 4.0296
_cell_length_c 9.2826
_cell_angle_alpha 90.00
_cell_angle_beta 90.00
_cell_angle_gamma 90.00
loop_
_symmetry_equiv_pos_as_xyz
'x,y,z'
'y,-x,-z'
'-x,-y,z'
'-y,x,-z'
'-x,y,z'
'-y,-x,-z'
'x,-y,z'
'y,x,-z'
loop_
_atom_site_label
_atom_site_fract_x
_atom_site_fract_y
_atom_site_fract_z
_atom_site_occupancy
Ho1 0.0000 0.5000 0.2455 1
Be1 0.0000 0.0000 0.5000 1
Be2 0.0000 0.5000 0.8769 1
Be3 0.5000 0.5000 0.5000 1
Pt1 0.0000 0.0000 0.0000 1
Pt2 0.0000 0.5000 0.6261 1
Rh1 0.5000 0.5000 0.0000 1
# * formation energy from the elements: -0.886 eV per atom

***

[2]
# HoScBe2Pt5 | Alexandria | GGA-PBE | relaxed
data_HoScBe2Pt5
_chemical_formula_sum 'Ho1 Sc1 Be2 Pt5'
_symmetry_space_group_name_H-M 'P 4/m m m'
_symmetry_Int_Tables_number 123
_symmetry_space_group_name_Hall '-P 4 2'
_cell_length_a 4.0482
_cell_length_b 4.0482
_cell_length_c 8.6400
_cell_angle_alpha 90.00
_cell_angle_beta 90.00
_cell_angle_gamma 90.00
loop_
_atom_site_label
_atom_site_fract_x
_atom_site_fract_y
_atom_site_fract_z
_atom_site_occupancy
Ho1 0.0000 0.0000 0.0000 1
Sc1 0.0000 0.0000 0.5000 1
Be1 0.5000 0.5000 0.3697 1
Pt1 0.0000 0.5000 0.2520 1
Pt2 0.5000 0.5000 0.0000 1
# * formation energy from the elements: -0.939 eV per atom

***

[3]
# HoScBePt | Alexandria | GGA-PBE | relaxed
data_HoScBePt
_chemical_formula_sum 'Ho4 Sc4 Be4 Pt4'
_symmetry_space_group_name_H-M 'F -4 3 m'
_symmetry_Int_Tables_number 216
_symmetry_space_group_name_Hall 'F -4 2 3'
_cell_length_a 6.7172
_cell_length_b 6.7172
_cell_length_c 6.7172
_cell_angle_alpha 90.00
_cell_angle_beta 90.00
_cell_angle_gamma 90.00
loop_
_atom_site_label
_atom_site_fract_x
_atom_site_fract_y
_atom_site_fract_z
_atom_site_occupancy
Ho1 0.0000 0.0000 0.0000 1
Sc1 0.0000 0.0000 0.5000 1
Be1 0.2500 0.2500 0.2500 1
Pt1 0.2500 0.2500 0.7500 1
# * formation energy from the elements: -0.576 eV per atom

***

[4]
# Ho2BeSi4Pt3 | Alexandria | GGA-PBE | relaxed
data_Ho2BeSi4Pt3
_chemical_formula_sum 'Ho2 Be1 Si4 Pt3'
_symmetry_space_group_name_H-M 'P -4 m 2'
_symmetry_Int_Tables_number 115
_cell_length_a 4.0092
_cell_length_b 4.0092
_cell_length_c 10.4134
_cell_angle_alpha 90.00
_cell_angle_beta 90.00
_cell_angle_gamma 90.00
loop_
_symmetry_equiv_pos_as_xyz
'x,y,z'
'y,-x,-z'
'-x,-y,z'
'-y,x,-z'
'-x,y,z'
'-y,-x,-z'
'x,-y,z'
'y,x,-z'
loop_
_atom_site_label
_atom_site_fract_x
_atom_site_fract_y
_atom_site_fract_z
_atom_site_occupancy
Ho1 0.0000 0.5000 0.2377 1
Be1 0.5000 0.5000 0.0000 1
Si1 0.0000 0.0000 0.5000 1
Si2 0.0000 0.5000 0.8659 1
Si3 0.5000 0.5000 0.5000 1
Pt1 0.0000 0.0000 0.0000 1
Pt2 0.0000 0.5000 0.6333 1
# * uncorrected formation energy: -914 kJ/mol of formula units

***

[5]
# Ho2Be3Si4Pt | Alexandria | GGA-PBE | relaxed
data_Ho2Be3Si4Pt
_chemical_formula_sum 'Ho2 Be3 Si4 Pt1'
_symmetry_space_group_name_H-M 'P -4 m 2'
_symmetry_Int_Tables_number 115
_cell_length_a 3.9175
_cell_length_b 3.9175
_cell_length_c 9.7960
_cell_angle_alpha 90.00
_cell_angle_beta 90.00
_cell_angle_gamma 90.00
loop_
_symmetry_equiv_pos_as_xyz
'x,y,z'
'y,-x,-z'
'-x,-y,z'
'-y,x,-z'
'-x,y,z'
'-y,-x,-z'
'x,-y,z'
'y,x,-z'
loop_
_atom_site_label
_atom_site_fract_x
_atom_site_fract_y
_atom_site_fract_z
_atom_site_occupancy
Ho1 0.0000 0.5000 0.2435 1
Be1 0.0000 0.5000 0.8696 1
Be2 0.5000 0.5000 0.5000 1
Si1 0.0000 0.0000 0.0000 1
Si2 0.0000 0.5000 0.6433 1
Si3 0.5000 0.5000 0.0000 1
Pt1 0.0000 0.0000 0.5000 1
# * uncorrected formation energy: -544 kJ/mol of formula units

***

[6]
# Ho2BeSi3Pt4 | Alexandria | GGA-PBE | relaxed
data_Ho2BeSi3Pt4
_chemical_formula_sum 'Ho2 Be1 Si3 Pt4'
_symmetry_space_group_name_H-M 'P -4 m 2'
_symmetry_Int_Tables_number 115
_cell_length_a 4.1274
_cell_length_b 4.1274
_cell_length_c 9.9015
_cell_angle_alpha 90.00
_cell_angle_beta 90.00
_cell_angle_gamma 90.00
loop_
_symmetry_equiv_pos_as_xyz
'x,y,z'
'y,-x,-z'
'-x,-y,z'
'-y,x,-z'
'-x,y,z'
'-y,-x,-z'
'x,-y,z'
'y,x,-z'
loop_
_atom_site_label
_atom_site_fract_x
_atom_site_fract_y
_atom_site_fract_z
_atom_site_occupancy
Ho1 0.0000 0.5000 0.2394 1
Be1 0.5000 0.5000 0.0000 1
Si1 0.0000 0.0000 0.0000 1
Si2 0.0000 0.5000 0.6385 1
Pt1 0.0000 0.0000 0.5000 1
Pt2 0.0000 0.5000 0.8758 1
Pt3 0.5000 0.5000 0.5000 1
# * uncorrected formation energy: -1030 kJ/mol of formula units

***

[7]
# HoBe2SiPt | Alexandria | GGA-PBE | relaxed
data_HoBe2SiPt
_chemical_formula_sum 'Ho2 Be4 Si2 Pt2'
_symmetry_space_group_name_H-M 'I m m 2'
_symmetry_Int_Tables_number 44
_cell_length_a 3.8489
_cell_length_b 3.9275
_cell_length_c 9.8568
_cell_angle_alpha 90.00
_cell_angle_beta 90.00
_cell_angle_gamma 90.00
loop_
_symmetry_equiv_pos_as_xyz
'x,y,z'
'-x,-y,z'
'-x,y,z'
'x,-y,z'
'x+1/2,y+1/2,z+1/2'
'-x+1/2,-y+1/2,z+1/2'
'-x+1/2,y+1/2,z+1/2'
'x+1/2,-y+1/2,z+1/2'
loop_
_atom_site_label
_atom_site_fract_x
_atom_site_fract_y
_atom_site_fract_z
_atom_site_occupancy
Ho1 0.0000 0.0000 0.0000 1
Be1 0.0000 0.0000 0.3835 1
Be2 0.0000 0.5000 0.2525 1
Si1 0.0000 0.0000 0.6141 1
Pt1 0.0000 0.5000 0.7580 1
# * uncorrected formation energy: -319 kJ/mol of formula units

***

[8]
# Ho2BeSiPt6 | Alexandria | GGA-PBE | relaxed
data_Ho2BeSiPt6
_chemical_formula_sum 'Ho6 Be3 Si3 Pt18'
_symmetry_space_group_name_H-M 'R -3 m'
_symmetry_Int_Tables_number 166
_symmetry_space_group_name_Hall '-R 3 2"'
_cell_length_a 5.6696
_cell_length_b 5.6696
_cell_length_c 19.2931
_cell_angle_alpha 90.00
_cell_angle_beta 90.00
_cell_angle_gamma 120.00
loop_
_atom_site_label
_atom_site_fract_x
_atom_site_fract_y
_atom_site_fract_z
_atom_site_occupancy
Ho1 0.0000 0.0000 0.2099 1
Be1 0.0000 0.0000 0.0000 1
Si1 0.0000 0.0000 0.5000 1
Pt1 0.0075 0.5037 0.2605 1
# * uncorrected formation energy: -898 kJ/mol of formula units

***

[9]
# Ho2Be4Si3Pt | Alexandria | GGA-PBE | relaxed
data_Ho2Be4Si3Pt
_chemical_formula_sum 'Ho2 Be4 Si3 Pt1'
_symmetry_space_group_name_H-M 'P -4 m 2'
_symmetry_Int_Tables_number 115
_cell_length_a 3.8222
_cell_length_b 3.8222
_cell_length_c 9.8251
_cell_angle_alpha 90.00
_cell_angle_beta 90.00
_cell_angle_gamma 90.00
loop_
_symmetry_equiv_pos_as_xyz
'x,y,z'
'y,-x,-z'
'-x,-y,z'
'-y,x,-z'
'-x,y,z'
'-y,-x,-z'
'x,-y,z'
'y,x,-z'
loop_
_atom_site_label
_atom_site_fract_x
_atom_site_fract_y
_atom_site_fract_z
_atom_site_occupancy
Ho1 0.0000 0.5000 0.2450 1
Be1 0.0000 0.0000 0.0000 1
Be2 0.0000 0.5000 0.6366 1
Be3 0.5000 0.5000 0.0000 1
Si1 0.0000 0.5000 0.8668 1
Si2 0.5000 0.5000 0.5000 1
Pt1 0.0000 0.0000 0.5000 1
# * uncorrected formation energy: -577 kJ/mol of formula units

***

[10]
# Ho2Be3SnPt4 | Alexandria | GGA-PBE | relaxed
data_Ho2Be3SnPt4
_chemical_formula_sum 'Ho2 Be3 Sn1 Pt4'
_symmetry_space_group_name_H-M 'P -4 m 2'
_symmetry_Int_Tables_number 115
_cell_length_a 4.0580
_cell_length_b 4.0580
_cell_length_c 10.2342
_cell_angle_alpha 90.00
_cell_angle_beta 90.00
_cell_angle_gamma 90.00
loop_
_symmetry_equiv_pos_as_xyz
'x,y,z'
'y,-x,-z'
'-x,-y,z'
'-y,x,-z'
'-x,y,z'
'-y,-x,-z'
'x,-y,z'
'y,x,-z'
loop_
_atom_site_label
_atom_site_fract_x
_atom_site_fract_y
_atom_site_fract_z
_atom_site_occupancy
Ho1 0.0000 0.5000 0.2331 1
Be1 0.0000 0.5000 0.8866 1
Be2 0.5000 0.5000 0.5000 1
Sn1 0.0000 0.0000 0.5000 1
Pt1 0.0000 0.0000 0.0000 1
Pt2 0.0000 0.5000 0.6647 1
Pt3 0.5000 0.5000 0.0000 1
# * formation energy from the elements: -0.863 eV per atom

***

[11]
# HoTiBe2Pt5 | Alexandria | GGA-PBE | relaxed
data_HoTiBe2Pt5
_chemical_formula_sum 'Ho1 Ti1 Be2 Pt5'
_symmetry_space_group_name_H-M 'P 4/m m m'
_symmetry_Int_Tables_number 123
_symmetry_space_group_name_Hall '-P 4 2'
_cell_length_a 4.3887
_cell_length_b 4.3887
_cell_length_c 7.2663
_cell_angle_alpha 90.00
_cell_angle_beta 90.00
_cell_angle_gamma 90.00
loop_
_atom_site_label
_atom_site_fract_x
_atom_site_fract_y
_atom_site_fract_z
_atom_site_occupancy
Ho1 0.0000 0.0000 0.0000 1
Ti1 0.0000 0.0000 0.5000 1
Be1 0.5000 0.5000 0.3398 1
Pt1 0.0000 0.5000 0.2824 1
Pt2 0.5000 0.5000 0.0000 1
# * formation energy from the elements: -0.745 eV per atom

***

[12]
# Ho2TiBe4Pt3 | Alexandria | GGA-PBE | relaxed
data_Ho2TiBe4Pt3
_chemical_formula_sum 'Ho2 Ti1 Be4 Pt3'
_symmetry_space_group_name_H-M 'P -4 m 2'
_symmetry_Int_Tables_number 115
_cell_length_a 3.8705
_cell_length_b 3.8705
_cell_length_c 10.3669
_cell_angle_alpha 90.00
_cell_angle_beta 90.00
_cell_angle_gamma 90.00
loop_
_symmetry_equiv_pos_as_xyz
'x,y,z'
'y,-x,-z'
'-x,-y,z'
'-y,x,-z'
'-x,y,z'
'-y,-x,-z'
'x,-y,z'
'y,x,-z'
loop_
_atom_site_label
_atom_site_fract_x
_atom_site_fract_y
_atom_site_fract_z
_atom_site_occupancy
Ho1 0.0000 0.5000 0.2421 1
Ti1 0.0000 0.0000 0.5000 1
Be1 0.0000 0.0000 0.0000 1
Be2 0.0000 0.5000 0.6522 1
Be3 0.5000 0.5000 0.0000 1
Pt1 0.0000 0.5000 0.8767 1
Pt2 0.5000 0.5000 0.5000 1
# * formation energy from the elements: -0.709 eV per atom

***

[13]
# HoTmBePt | Alexandria | GGA-PBE | relaxed
data_HoTmBePt
_chemical_formula_sum 'Ho4 Tm4 Be4 Pt4'
_symmetry_space_group_name_H-M 'F -4 3 m'
_symmetry_Int_Tables_number 216
_symmetry_space_group_name_Hall 'F -4 2 3'
_cell_length_a 6.8701
_cell_length_b 6.8701
_cell_length_c 6.8701
_cell_angle_alpha 90.00
_cell_angle_beta 90.00
_cell_angle_gamma 90.00
loop_
_atom_site_label
_atom_site_fract_x
_atom_site_fract_y
_atom_site_fract_z
_atom_site_occupancy
Ho1 0.0000 0.0000 0.0000 1
Tm1 0.0000 0.0000 0.5000 1
Be1 0.2500 0.2500 0.7500 1
Pt1 0.2500 0.2500 0.2500 1
# * formation energy from the elements: -0.585 eV per atom

***

[14]
# Ho2Be2ZnPt5 | Alexandria | GGA-PBE | relaxed
data_Ho2Be2ZnPt5
_chemical_formula_sum 'Ho4 Be4 Zn2 Pt10'
_symmetry_space_group_name_H-M 'P 4/m b m'
_symmetry_Int_Tables_number 127
_symmetry_space_group_name_Hall '-P 4 2ab'
_cell_length_a 9.4765
_cell_length_b 9.4765
_cell_length_c 3.5019
_cell_angle_alpha 90.00
_cell_angle_beta 90.00
_cell_angle_gamma 90.00
loop_
_atom_site_label
_atom_site_fract_x
_atom_site_fract_y
_atom_site_fract_z
_atom_site_occupancy
Ho1 0.1779 0.3221 0.0000 1
Be1 0.1196 0.6196 0.0000 1
Zn1 0.0000 0.0000 0.0000 1
Pt1 0.0000 0.5000 0.5000 1
Pt2 0.0670 0.7874 0.5000 1
# * formation energy from the elements: -0.982 eV per atom

***

[15]
# Ho2Be4ZnPt3 | Alexandria | GGA-PBE | relaxed
data_Ho2Be4ZnPt3
_chemical_formula_sum 'Ho2 Be4 Zn1 Pt3'
_symmetry_space_group_name_H-M 'P -4 m 2'
_symmetry_Int_Tables_number 115
_cell_length_a 3.9562
_cell_length_b 3.9562
_cell_length_c 9.7332
_cell_angle_alpha 90.00
_cell_angle_beta 90.00
_cell_angle_gamma 90.00
loop_
_symmetry_equiv_pos_as_xyz
'x,y,z'
'y,-x,-z'
'-x,-y,z'
'-y,x,-z'
'-x,y,z'
'-y,-x,-z'
'x,-y,z'
'y,x,-z'
loop_
_atom_site_label
_atom_site_fract_x
_atom_site_fract_y
_atom_site_fract_z
_atom_site_occupancy
Ho1 0.0000 0.5000 0.2466 1
Be1 0.0000 0.0000 0.0000 1
Be2 0.0000 0.5000 0.6331 1
Be3 0.5000 0.5000 0.0000 1
Zn1 0.0000 0.0000 0.5000 1
Pt1 0.0000 0.5000 0.8734 1
Pt2 0.5000 0.5000 0.5000 1
# * formation energy from the elements: -0.734 eV per atom

***

[16]
# Ho2BeZnPt2 | Alexandria | GGA-PBE | relaxed
data_Ho2BeZnPt2
_chemical_formula_sum 'Ho8 Be4 Zn4 Pt8'
_symmetry_space_group_name_H-M 'I b a m'
_symmetry_Int_Tables_number 72
_symmetry_space_group_name_Hall '-I 2 2c'
_cell_length_a 5.8201
_cell_length_b 13.5924
_cell_length_c 5.6969
_cell_angle_alpha 90.00
_cell_angle_beta 90.00
_cell_angle_gamma 90.00
loop_
_atom_site_label
_atom_site_fract_x
_atom_site_fract_y
_atom_site_fract_z
_atom_site_occupancy
Ho1 0.2380 0.1687 0.0000 1
Be1 0.0000 0.5000 0.2500 1
Zn1 0.0000 0.0000 0.2500 1
Pt1 0.2179 0.3881 0.0000 1
# * formation energy from the elements: -0.880 eV per atom

***

[17]
# Ho2Be3ZnPt4 | Alexandria | GGA-PBE | relaxed
data_Ho2Be3ZnPt4
_chemical_formula_sum 'Ho2 Be3 Zn1 Pt4'
_symmetry_space_group_name_H-M 'P -4 m 2'
_symmetry_Int_Tables_number 115
_cell_length_a 3.9881
_cell_length_b 3.9881
_cell_length_c 10.0671
_cell_angle_alpha 90.00
_cell_angle_beta 90.00
_cell_angle_gamma 90.00
loop_
_symmetry_equiv_pos_as_xyz
'x,y,z'
'y,-x,-z'
'-x,-y,z'
'-y,x,-z'
'-x,y,z'
'-y,-x,-z'
'x,-y,z'
'y,x,-z'
loop_
_atom_site_label
_atom_site_fract_x
_atom_site_fract_y
_atom_site_fract_z
_atom_site_occupancy
Ho1 0.0000 0.5000 0.2416 1
Be1 0.0000 0.5000 0.8802 1
Be2 0.5000 0.5000 0.5000 1
Zn1 0.0000 0.0000 0.5000 1
Pt1 0.0000 0.0000 0.0000 1
Pt2 0.0000 0.5000 0.6521 1
Pt3 0.5000 0.5000 0.0000 1
# * formation energy from the elements: -0.895 eV per atom

***

[18]
# Ho2PuBe | Alexandria | GGA-PBE | relaxed
data_Ho2PuBe
_chemical_formula_sum 'Ho6 Pu3 Be3'
_symmetry_space_group_name_H-M 'R -3 m'
_symmetry_Int_Tables_number 166
_symmetry_space_group_name_Hall '-R 3 2"'
_cell_length_a 3.3897
_cell_length_b 3.3897
_cell_length_c 32.0733
_cell_angle_alpha 90.00
_cell_angle_beta 90.00
_cell_angle_gamma 120.00
loop_
_atom_site_label
_atom_site_fract_x
_atom_site_fract_y
_atom_site_fract_z
_atom_site_occupancy
Ho1 0.0000 0.0000 0.1047 1
Pu1 0.0000 0.0000 0.0000 1
Be1 0.0000 0.0000 0.5000 1
# * excess energy over the best structure of this formula in the dataset: 311.1 meV per atom
# * formation energy from the elements: 0.445 eV per atom

***

[19]
# Ho2PuBe | Alexandria | GGA-PBE | relaxed
data_Ho2PuBe
_chemical_formula_sum 'Ho2 Pu1 Be1'
_symmetry_space_group_name_H-M 'P 4/m m m'
_symmetry_Int_Tables_number 123
_symmetry_space_group_name_Hall '-P 4 2'
_cell_length_a 3.3987
_cell_length_b 3.3987
_cell_length_c 8.4372
_cell_angle_alpha 90.00
_cell_angle_beta 90.00
_cell_angle_gamma 90.00
loop_
_atom_site_label
_atom_site_fract_x
_atom_site_fract_y
_atom_site_fract_z
_atom_site_occupancy
Ho1 0.0000 0.0000 0.1949 1
Pu1 0.5000 0.5000 0.5000 1
Be1 0.5000 0.5000 0.0000 1
# * excess energy over the best structure of this formula in the dataset: 0.0 meV per atom
# * formation energy from the elements: 0.134 eV per atom

***

[20]
# HoPuBe | Alexandria | GGA-PBE | relaxed
data_HoPuBe
_chemical_formula_sum 'Ho2 Pu2 Be2'
_symmetry_space_group_name_H-M 'I 4 m m'
_symmetry_Int_Tables_number 107
_symmetry_space_group_name_Hall 'I 4 -2'
_cell_length_a 3.4027
_cell_length_b 3.4027
_cell_length_c 11.5208
_cell_angle_alpha 90.00
_cell_angle_beta 90.00
_cell_angle_gamma 90.00
loop_
_atom_site_label
_atom_site_fract_x
_atom_site_fract_y
_atom_site_fract_z
_atom_site_occupancy
Ho1 0.0000 0.0000 0.0000 1
Pu1 0.0000 0.0000 0.7222 1
Be1 0.0000 0.0000 0.3633 1
# * formation energy from the elements: 0.195 eV per atom

***

E_tot for the records above, in order: -0.215 -0.233 -0.211 -0.228 -0.197 -0.235 -0.197 -0.235 -0.192 -0.210 -0.232 -0.210 -0.194 -0.213 -0.187 -0.193 -0.201 -0.234 -0.245 -0.270 Ha/atom
Calculated volume for the records above, in order: 150.73 141.59 303.08 167.38 150.34 168.68 149.00 537.01 143.53 168.53 139.95 155.30 324.26 314.49 152.34 450.68 160.12 319.16 97.46 133.40 Å³/cell